DFT (PBE) results for an optimized crystal structure of SrMgTl2Cl6.

Lattice parameters (Å, degrees): 7.3884 7.3887 7.4109 61.82 61.94 61.86
Space group P-1 (No. 2)
Symmetry-distinct sites (fractional):
Sr1 0.0000 0.0000 0.0000 x1
Mg1 0.5000 0.5000 0.5000 x1
Tl1 0.2720 0.2700 0.2724 x2
Cl1 0.1922 0.3414 0.7166 x2
Cl2 0.2786 0.8065 0.6604 x2
Cl3 0.3423 0.7226 0.1917 x2

## Properties
ΔE_f (raw), meV per atom: -1694

=====

DFT (PBE) results for an optimized crystal structure of ZnFeP2.

Lattice parameters (Å, degrees): 2.9154 2.9154 6.4846 90.00 90.00 90.00
Space group P4mm (No. 99)
Symmetry-distinct sites (fractional):
Zn1 0.0000 0.0000 0.0000 x1
Fe1 0.5000 0.5000 0.2694 x1
P1 0.0000 0.0000 0.4196 x1
P2 0.5000 0.5000 0.6478 x1

## Properties
Raw total energy, eV for the cell shown: -19.87

=====

DFT (PBE) results for an optimized crystal structure of EuYCoCu.

Lattice parameters (Å, degrees): 6.9300 6.9300 6.9300 90.00 90.00 90.00
Space group F-43m (No. 216)
Symmetry-distinct sites (fractional):
Eu1 0.0000 0.0000 0.0000 x4
Y1 0.0000 0.0000 0.5000 x4
Co1 0.2500 0.2500 0.7500 x4
Cu1 0.2500 0.2500 0.2500 x4

## Properties
Raw total energy, eV for the cell shown: -111.63

=====

DFT (PBE) results for an optimized crystal structure of La2AsS2.

Lattice parameters (Å, degrees): 8.1695 8.1695 3.7849 90.00 90.00 90.00
Space group P4/mbm (No. 127)
Symmetry-distinct sites (fractional):
La1 0.1658 0.3342 0.0000 x4
As1 0.0000 0.0000 0.0000 x2
S1 0.1359 0.6359 0.5000 x4

## Properties
Offset from the most stable computed form, meV per atom: 0
ΔE_f (raw), meV per atom: -1612

=====

DFT (PBE) results for an optimized crystal structure of TiZnCoPd.

Lattice parameters (Å, degrees): 3.0932 3.0932 5.7689 90.00 90.00 90.00
Space group P4mm (No. 99)
Symmetry-distinct sites (fractional):
Ti1 0.0000 0.0000 0.0000 x1
Zn1 0.0000 0.0000 0.4638 x1
Co1 0.5000 0.5000 0.2184 x1
Pd1 0.5000 0.5000 0.7236 x1

## Properties
Raw total energy, eV for the cell shown: -23.19

=====

DFT (PBE) results for an optimized crystal structure of ZrZn6Ni4.

Lattice parameters (Å, degrees): 6.1569 6.1569 8.9735 90.00 90.00 90.00
Space group I-42m (No. 121)
Symmetry-distinct sites (fractional):
Zr1 0.0000 0.0000 0.0000 x2
Zn1 0.0000 0.5000 0.0000 x4
Zn2 0.1794 0.1794 0.7108 x8
Ni1 0.1730 0.1730 0.4330 x8

## Properties
Raw total energy, eV for the cell shown: -80.64